Entry 1:
Computed, not measured: crystalline Er7Te2Pt2 at its relaxed geometry at the PBE-GGA level of DFT.

Results
The calculation puts the density of states at the Fermi level at 0.73 states/eV/atom. The calculation puts the volume at 293 Å³/f.u.

The structure in CIF format:
```
data_Er7Te2Pt2
_chemical_formula_sum 'Er14 Te4 Pt4'
_symmetry_space_group_name_H-M 'I m m 2'
_symmetry_Int_Tables_number 44
_symmetry_space_group_name_Hall 'I 2 -2'
_cell_length_a 3.939
_cell_length_b 15.560
_cell_length_c 9.575
_cell_angle_alpha 90.00
_cell_angle_beta 90.00
_cell_angle_gamma 90.00
loop_
_atom_site_label
_atom_site_fract_x
_atom_site_fract_y
_atom_site_fract_z
Er1 0.000 0.000 0.000
Er2 0.000 0.130 0.417
Er3 0.000 0.316 0.626
Er4 0.000 0.357 0.269
Te1 0.000 0.000 0.663
Te2 0.000 0.500 0.763
Pt1 0.000 0.237 0.927
```

=====

Entry 2:
Computed, not measured: crystalline Er6TePt3 at its relaxed geometry at the PBE-GGA level of DFT.

Results
The calculation puts the density of states at the Fermi level at 0.74 states/eV/atom. The calculation puts the volume at 270 Å³/f.u.

The structure in CIF format:
```
data_Er6TePt3
_chemical_formula_sum 'Er12 Te2 Pt6'
_symmetry_space_group_name_H-M 'P 1 21/m 1'
_symmetry_Int_Tables_number 11
_symmetry_space_group_name_Hall '-P 2yb'
_cell_length_a 11.715
_cell_length_b 4.104
_cell_length_c 11.782
_cell_angle_alpha 90.00
_cell_angle_beta 107.74
_cell_angle_gamma 90.00
loop_
_atom_site_label
_atom_site_fract_x
_atom_site_fract_y
_atom_site_fract_z
Er1 0.023 0.250 0.376
Er2 0.102 0.250 0.928
Er3 0.220 0.750 0.253
Er4 0.266 0.250 0.692
Er5 0.406 0.750 0.539
Er6 0.437 0.250 0.141
Te1 0.321 0.750 0.925
Pt1 0.067 0.250 0.152
Pt2 0.167 0.750 0.515
Pt3 0.481 0.750 0.313
```

=====

Entry 3:
Computed, not measured: crystalline ErTe2Pt at its relaxed geometry at the PBE-GGA level of DFT.

Results
The calculation puts the density of states at the Fermi level at 0.73 states/eV/atom. The calculation puts the volume at 121 Å³/f.u.

The structure in CIF format:
```
data_ErTe2Pt
_chemical_formula_sum 'Er3 Te6 Pt3'
_symmetry_space_group_name_H-M 'R -3 m'
_symmetry_Int_Tables_number 166
_symmetry_space_group_name_Hall '-R 3 2"'
_cell_length_a 3.9459
_cell_length_b 3.9459
_cell_length_c 26.9369
_cell_angle_alpha 90.00
_cell_angle_beta 90.00
_cell_angle_gamma 120.00
loop_
_atom_site_label
_atom_site_fract_x
_atom_site_fract_y
_atom_site_fract_z
Er1 0.0000 0.0000 0.0000
Te1 0.0000 0.0000 0.1120
Pt1 0.0000 0.0000 0.5000
```

=====

Entry 4:
Computed, not measured: crystalline ErTePt at its relaxed geometry at the PBE-GGA level of DFT.

Results
The calculation puts the density of states at the Fermi level at 0.58 states/eV/atom. The calculation puts the volume at 74 Å³/f.u.

The structure in CIF format:
```
data_ErTePt
_chemical_formula_sum 'Er4 Te4 Pt4'
_symmetry_space_group_name_H-M 'P 1 21/c 1'
_symmetry_Int_Tables_number 14
_symmetry_space_group_name_Hall '-P 2ybc'
_cell_length_a 6.093
_cell_length_b 7.021
_cell_length_c 7.449
_cell_angle_alpha 90.00
_cell_angle_beta 111.22
_cell_angle_gamma 90.00
loop_
_atom_site_label
_atom_site_fract_x
_atom_site_fract_y
_atom_site_fract_z
Er1 0.062 0.248 0.014
Te1 0.496 0.695 0.107
Pt1 0.239 0.549 0.320
```

=====

Entry 5:
Computed, not measured: crystalline Er6TlTe3Pt2 at its relaxed geometry at the PBE-GGA level of DFT.

Results
The calculation puts the density of states at the Fermi level at 0.59 states/eV/atom. The calculation puts the volume at 329 Å³/f.u.

The structure in CIF format:
```
data_Er6TlTe3Pt2
_chemical_formula_sum 'Er12 Tl2 Te6 Pt4'
_symmetry_space_group_name_H-M 'C 1 2/m 1'
_symmetry_Int_Tables_number 12
_symmetry_space_group_name_Hall '-C 2y'
_cell_length_a 19.213
_cell_length_b 4.121
_cell_length_c 8.856
_cell_angle_alpha 90.00
_cell_angle_beta 110.15
_cell_angle_gamma 90.00
loop_
_atom_site_label
_atom_site_fract_x
_atom_site_fract_y
_atom_site_fract_z
Er1 0.006 0.000 0.258
Er2 0.170 0.500 0.104
Er3 0.180 0.500 0.553
Tl1 0.000 0.500 0.000
Te1 0.000 0.500 0.500
Te2 0.164 0.000 0.827
Pt1 0.163 0.000 0.321
```

=====

Entry 6:
Computed, not measured: crystalline Er3ThPt12 at its relaxed geometry at the PBE-GGA level of DFT.

Results
The calculated formation energy is -1.09 eV/atom. The calculation puts the density of states at the Fermi level at 0.68 states/eV/atom. The calculation puts the volume at 283 Å³/f.u.

The structure in CIF format:
```
data_Er3ThPt12
_chemical_formula_sum 'Er3 Th1 Pt12'
_symmetry_space_group_name_H-M 'P 4/m m m'
_symmetry_Int_Tables_number 123
_symmetry_space_group_name_Hall '-P 4 2'
_cell_length_a 4.138
_cell_length_b 4.138
_cell_length_c 16.502
_cell_angle_alpha 90.00
_cell_angle_beta 90.00
_cell_angle_gamma 90.00
loop_
_atom_site_label
_atom_site_fract_x
_atom_site_fract_y
_atom_site_fract_z
Er1 0.000 0.000 0.000
Er2 0.000 0.000 0.245
Th1 0.000 0.000 0.500
Pt1 0.000 0.500 0.123
Pt2 0.000 0.500 0.370
Pt3 0.500 0.500 0.000
Pt4 0.500 0.500 0.246
Pt5 0.500 0.500 0.500
```

=====

Entry 7:
Computed, not measured: crystalline ErTh2Pt at its relaxed geometry at the PBE-GGA level of DFT.

Results
The calculated formation energy is -0.13 eV/atom. The calculation puts the density of states at the Fermi level at 1.89 states/eV/atom. The calculation puts the volume at 126 Å³/f.u.

The structure in CIF format:
```
data_ErTh2Pt
_chemical_formula_sum 'Er3 Th6 Pt3'
_symmetry_space_group_name_H-M 'R -3 m'
_symmetry_Int_Tables_number 166
_symmetry_space_group_name_Hall '-R 3 2"'
_cell_length_a 3.7165
_cell_length_b 3.7165
_cell_length_c 31.6112
_cell_angle_alpha 90.00
_cell_angle_beta 90.00
_cell_angle_gamma 120.00
loop_
_atom_site_label
_atom_site_fract_x
_atom_site_fract_y
_atom_site_fract_z
Er1 0.0000 0.0000 0.0000
Th1 0.0000 0.0000 0.1045
Pt1 0.0000 0.0000 0.5000
```

=====

Entry 8:
Computed, not measured: crystalline ErThPt2 at its relaxed geometry at the PBE-GGA level of DFT.

Results
The calculated formation energy is -1.23 eV/atom. The calculation puts the density of states at the Fermi level at 0.50 states/eV/atom. The calculation puts the volume at 99 Å³/f.u.

The structure in CIF format:
```
data_ErThPt2
_chemical_formula_sum 'Er3 Th3 Pt6'
_symmetry_space_group_name_H-M 'R -3 m'
_symmetry_Int_Tables_number 166
_symmetry_space_group_name_Hall '-R 3 2"'
_cell_length_a 4.1244
_cell_length_b 4.1244
_cell_length_c 20.1192
_cell_angle_alpha 90.00
_cell_angle_beta 90.00
_cell_angle_gamma 120.00
loop_
_atom_site_label
_atom_site_fract_x
_atom_site_fract_y
_atom_site_fract_z
Er1 0.0000 0.0000 0.0000
Th1 0.0000 0.0000 0.5000
Pt1 0.0000 0.0000 0.2517
```

=====

Entry 9:
Computed, not measured: crystalline ErThPt2 at its relaxed geometry at the PBE-GGA level of DFT.

Results
The calculated formation energy is -1.13 eV/atom. The calculation puts the density of states at the Fermi level at 0.71 states/eV/atom. The calculation puts the volume at 90 Å³/f.u.

The structure in CIF format:
```
data_ErThPt2
_chemical_formula_sum 'Er1 Th1 Pt2'
_symmetry_space_group_name_H-M 'P 4/m m m'
_symmetry_Int_Tables_number 123
_symmetry_space_group_name_Hall '-P 4 2'
_cell_length_a 5.025
_cell_length_b 5.025
_cell_length_c 3.561
_cell_angle_alpha 90.00
_cell_angle_beta 90.00
_cell_angle_gamma 90.00
loop_
_atom_site_label
_atom_site_fract_x
_atom_site_fract_y
_atom_site_fract_z
Er1 0.000 0.000 0.000
Th1 0.500 0.500 0.000
Pt1 0.000 0.500 0.500
```

=====

Entry 10:
Computed, not measured: crystalline ErThPt2 at its relaxed geometry at the PBE-GGA level of DFT.

Results
The calculated formation energy is -0.85 eV/atom. The calculation puts the density of states at the Fermi level at 0.52 states/eV/atom. The calculation puts the volume at 97 Å³/f.u.

The structure in CIF format:
```
data_ErThPt2
_chemical_formula_sum 'Er2 Th2 Pt4'
_symmetry_space_group_name_H-M 'A m m 2'
_symmetry_Int_Tables_number 38
_symmetry_space_group_name_Hall 'A 2 -2'
_cell_length_a 3.487
_cell_length_b 7.028
_cell_length_c 7.954
_cell_angle_alpha 90.00
_cell_angle_beta 90.00
_cell_angle_gamma 90.00
loop_
_atom_site_label
_atom_site_fract_x
_atom_site_fract_y
_atom_site_fract_z
Er1 0.000 0.000 0.000
Th1 0.500 0.000 0.575
Pt1 0.000 0.207 0.288
```

=====

Entry 11:
Computed, not measured: crystalline Er2Th2Pt15 at its relaxed geometry at the PBE-GGA level of DFT.

Results
The calculated formation energy is -0.79 eV/atom. The calculation puts the density of states at the Fermi level at 0.94 states/eV/atom. The calculation puts the volume at 349 Å³/f.u.

The structure in CIF format:
```
data_Er2Th2Pt15
_chemical_formula_sum 'Er6 Th6 Pt45'
_symmetry_space_group_name_H-M 'R -3 m'
_symmetry_Int_Tables_number 166
_symmetry_space_group_name_Hall '-R 3 2"'
_cell_length_a 9.3366
_cell_length_b 9.3366
_cell_length_c 13.8639
_cell_angle_alpha 90.00
_cell_angle_beta 90.00
_cell_angle_gamma 120.00
loop_
_atom_site_label
_atom_site_fract_x
_atom_site_fract_y
_atom_site_fract_z
Er1 0.0000 0.0000 0.1058
Th1 0.0000 0.0000 0.3562
Pt1 0.0000 0.3154 0.0000
Pt2 0.0000 0.5000 0.5000
Pt3 0.0053 0.5026 0.1561
```

=====

Entry 12:
Computed, not measured: crystalline ErThPt2 at its relaxed geometry at the PBE-GGA level of DFT.

Results
The calculated formation energy is -1.17 eV/atom. The calculation puts the density of states at the Fermi level at 0.66 states/eV/atom. The calculation puts the volume at 92 Å³/f.u.

The structure in CIF format:
```
data_ErThPt2
_chemical_formula_sum 'Er2 Th2 Pt4'
_symmetry_space_group_name_H-M 'P 1 21/m 1'
_symmetry_Int_Tables_number 11
_symmetry_space_group_name_Hall '-P 2yb'
_cell_length_a 5.976
_cell_length_b 4.704
_cell_length_c 7.187
_cell_angle_alpha 90.00
_cell_angle_beta 113.72
_cell_angle_gamma 90.00
loop_
_atom_site_label
_atom_site_fract_x
_atom_site_fract_y
_atom_site_fract_z
Er1 0.107 0.250 0.397
Th1 0.340 0.750 0.129
Pt1 0.146 0.250 0.830
Pt2 0.398 0.750 0.579
```

=====

| no. | total energy (Ha/atom) |
| --- | --- |
| 1 | -0.20593 |
| 2 | -0.21734 |
| 3 | -0.16413 |
| 4 | -0.20143 |
| 5 | -0.19686 |
| 6 | -0.25499 |
| 7 | -0.23860 |
| 8 | -0.26630 |
| 9 | -0.26274 |
| 10 | -0.25222 |
| 11 | -0.25081 |
| 12 | -0.26417 |